A plane-wave DFT calculation with PBE+U was carried out for crystalline Na3Ho2MoO6 at its relaxed geometry. Values from VASP.

Quantum ESPRESSO input file:
```
&SYSTEM
  ibrav = 0, nat = 12, ntyp = 4
/
ATOMIC_SPECIES
Ho 164.93 Ho.upf
O 16.00 O.upf
Na 22.99 Na.upf
Mo 95.94 Mo.upf
ATOMIC_POSITIONS crystal
Ho 0.667 0.333 0.000
Ho 0.333 0.667 0.000
O 0.070 0.396 0.212
O 0.256 0.256 0.789
O 0.930 0.604 0.788
O 0.604 0.930 0.788
O 0.744 0.744 0.211
O 0.396 0.070 0.212
Na 0.161 0.839 0.500
Na 0.839 0.161 0.500
Na 0.500 0.500 0.500
Mo 0.000 0.000 0.000
CELL_PARAMETERS angstrom
5.788 -0.001 0.002
-2.894 5.013 0.002
-0.959 -1.661 5.563
```

Calculated values
- Symmetry: C2/m, No. 12
- Crystal system: monoclinic
- Final energy: -6.605 eV per atom